# Dy3TlH

Crystalline Dy3TlH at its relaxed geometry (GGA-PBE, Alexandria via LeMat-Bulk).

a = 4.8473 Å, b = 4.8473 Å, c = 4.8473 Å
α = 90.00°, β = 90.00°, γ = 90.00°
With the nearest neighbours (Å) after each atom.
Element x y z (fractional)
H1 0.0000 0.0000 0.0000  6 Dy 2.42
Tl1 0.5000 0.5000 0.5000  12 Dy 3.43
Dy1 0.0000 0.5000 0.0000  2 H 2.42
Dy2 0.0000 0.0000 0.5000  2 H 2.42
Dy3 0.5000 0.0000 0.0000  2 H 2.42

Calculated values
space group: No. 221
crystal system: cubic
mass density: 10.10 g cm⁻³
polymorph energy (0 for the lowest one): 0.000 eV/atom

# K3Si

Crystalline K3Si at its relaxed geometry (GGA-PBE, Alexandria via LeMat-Bulk).

a = 5.4510 Å, b = 5.4510 Å, c = 5.4467 Å
α = 90.00°, β = 90.00°, γ = 90.00°
With the nearest neighbours (Å) after each atom.
Element x y z (fractional)
K1 0.0000 0.5000 0.5000  4 Si 3.85, 8 K 3.85
K2 0.5000 0.0000 0.5000  8 K 3.85, 4 Si 3.85
K3 0.5000 0.5000 0.0000  8 K 3.85, 4 Si 3.85
Si1 0.0000 0.0000 0.0000  12 K 3.85

Calculated values
space group: No. 221
crystal system: cubic
mass density: 1.49 g cm⁻³
polymorph energy (0 for the lowest one): 0.300 eV/atom